(1)
Below is a relaxed structure of PmSmMnCd, with properties calculated at the PBE level.

a = 5.2840 Å, b = 5.2840 Å, c = 5.2840 Å
α = 60.00°, β = 60.00°, γ = 60.00°
Closest atoms and distances in Å follow each position.
Element x y z (fractional)
1 Pm 0.0000 0.0000 0.0000  4 Cd 3.24, 4 Mn 3.24
2 Sm 0.5000 0.5000 0.5000  4 Cd 3.24, 4 Mn 3.24
3 Mn 0.7500 0.7500 0.7500  4 Pm 3.24, 4 Sm 3.24
4 Cd 0.2500 0.2500 0.2500  4 Pm 3.24, 4 Sm 3.24


(2)
Below is a relaxed structure of Mn2CdPt9, with properties calculated at the PBE level.

a = 3.9649 Å, b = 3.9649 Å, c = 11.9086 Å
α = 90.00°, β = 90.00°, γ = 90.00°
Closest atoms and distances in Å follow each position.
Element x y z (fractional)
1 Mn 0.0000 0.0000 0.1646  12 Pt 2.74-2.80
2 Mn 0.0000 0.0000 0.8354  12 Pt 2.74-2.80
3 Cd 0.0000 0.0000 0.5000  12 Pt 2.80-2.89
4 Pt 0.0000 0.5000 0.0000  8 Pt 2.77-2.80, 4 Mn 2.79
5 Pt 0.0000 0.5000 0.3239  2 Mn 2.74, 8 Pt 2.76-2.89, 2 Cd 2.89
6 Pt 0.0000 0.5000 0.6761  2 Mn 2.74, 8 Pt 2.76-2.89, 2 Cd 2.89
7 Pt 0.5000 0.0000 0.0000  8 Pt 2.77-2.80, 4 Mn 2.79
8 Pt 0.5000 0.0000 0.3239  2 Mn 2.74, 8 Pt 2.76-2.89, 2 Cd 2.89
9 Pt 0.5000 0.0000 0.6761  2 Mn 2.74, 8 Pt 2.76-2.89, 2 Cd 2.89
10 Pt 0.5000 0.5000 0.1626  8 Pt 2.76-2.77, 4 Mn 2.80
11 Pt 0.5000 0.5000 0.5000  4 Cd 2.80, 8 Pt 2.89
12 Pt 0.5000 0.5000 0.8374  8 Pt 2.76-2.77, 4 Mn 2.80


(3)
Below is a relaxed structure of MnCd2Pt2, with properties calculated at the PBE level.

a = 6.6984 Å, b = 6.6984 Å, c = 4.1652 Å
α = 90.00°, β = 90.00°, γ = 90.00°
Closest atoms and distances in Å follow each position.
Element x y z (fractional)
1 Mn 0.0000 0.0000 0.0000  4 Pt 2.59
2 Mn 0.5000 0.5000 0.0000  4 Pt 2.59
3 Cd 0.1651 0.3349 0.5000  6 Pt 2.78-2.92
4 Cd 0.3349 0.8349 0.5000  6 Pt 2.78-2.92
5 Cd 0.6651 0.1651 0.5000  6 Pt 2.78-2.92
6 Cd 0.8349 0.6651 0.5000  6 Pt 2.78-2.92
7 Pt 0.1401 0.6401 0.0000  2 Mn 2.59, 1 Pt 2.65, 2 Cd 2.78
8 Pt 0.3599 0.1401 0.0000  2 Mn 2.59, 1 Pt 2.65, 2 Cd 2.78
9 Pt 0.6401 0.8599 0.0000  2 Mn 2.59, 1 Pt 2.65, 2 Cd 2.78
10 Pt 0.8599 0.3599 0.0000  2 Mn 2.59, 1 Pt 2.65, 2 Cd 2.78


(4)
Below is a relaxed structure of MnCd2Pt9, with properties calculated at the PBE level.

a = 3.9957 Å, b = 3.9957 Å, c = 12.0581 Å
α = 90.00°, β = 90.00°, γ = 90.00°
Closest atoms and distances in Å follow each position.
Element x y z (fractional)
1 Mn 0.0000 0.0000 0.0000  12 Pt 2.76-2.83
2 Cd 0.0000 0.0000 0.3303  12 Pt 2.83-2.89
3 Cd 0.0000 0.0000 0.6697  12 Pt 2.83-2.89
4 Pt 0.0000 0.5000 0.1576  2 Mn 2.76, 8 Pt 2.76-2.87, 2 Cd 2.89
5 Pt 0.0000 0.5000 0.5000  8 Pt 2.83-2.87, 4 Cd 2.86
6 Pt 0.0000 0.5000 0.8424  2 Mn 2.76, 8 Pt 2.76-2.87, 2 Cd 2.89
7 Pt 0.5000 0.0000 0.1576  2 Mn 2.76, 8 Pt 2.76-2.87, 2 Cd 2.89
8 Pt 0.5000 0.0000 0.5000  8 Pt 2.83-2.87, 4 Cd 2.86
9 Pt 0.5000 0.0000 0.8424  2 Mn 2.76, 8 Pt 2.76-2.87, 2 Cd 2.89
10 Pt 0.5000 0.5000 0.0000  8 Pt 2.76, 4 Mn 2.83
11 Pt 0.5000 0.5000 0.3286  4 Cd 2.83, 8 Pt 2.87
12 Pt 0.5000 0.5000 0.6714  4 Cd 2.83, 8 Pt 2.87


Energy of formation from the pure elements
In order: 0.101, -6.986, -4.670, -5.605
Unit: kcal/mol of atoms